Entry 1:
{"formula": "MgZn2Cu4Ni", "functional": "PBE", "state": "optimized geometry", "lattice": [[4.143, 0.000, 0.000], [0.000, 4.143, 0.000], [0.000, 0.000, 5.967]], "species": ["Mg", "Zn", "Zn", "Cu", "Cu", "Cu", "Cu", "Ni"], "frac_coords": [[0.000, 0.000, 0.000], [0.000, 0.000, 0.500], [0.500, 0.500, 0.000], [0.000, 0.500, 0.264], [0.000, 0.500, 0.736], [0.500, 0.000, 0.264], [0.500, 0.000, 0.736], [0.500, 0.500, 0.500]], "e_tot_ev_per_atom": -3.136, "space_group": "P4/mmm, No. 123"}

---

Entry 2:
{"formula": "Mg2ZnCu4Ni", "functional": "PBE", "state": "optimized geometry", "lattice": [[4.200, 0.000, 0.000], [0.000, 4.200, 0.000], [0.000, 0.000, 5.980]], "species": ["Mg", "Mg", "Zn", "Cu", "Cu", "Cu", "Cu", "Ni"], "frac_coords": [[0.000, 0.000, 0.000], [0.500, 0.500, 0.500], [0.000, 0.000, 0.500], [0.000, 0.500, 0.243], [0.000, 0.500, 0.757], [0.500, 0.000, 0.243], [0.500, 0.000, 0.757], [0.500, 0.500, 0.000]], "e_tot_ev_per_atom": -3.175, "space_group": "P4/mmm, No. 123"}

---

Entry 3:
{"formula": "MgCuOs2", "functional": "PBE", "state": "optimized geometry", "lattice": [[0.000, 3.045, 3.045], [3.045, 0.000, 3.045], [3.045, 3.045, 0.000]], "species": ["Mg", "Cu", "Os", "Os"], "frac_coords": [[0.000, 0.000, 0.000], [0.250, 0.250, 0.250], [0.500, 0.500, 0.500], [0.750, 0.750, 0.750]], "e_tot_ev_per_atom": -6.695, "space_group": "F-43m, No. 216"}

---

Entry 4:
{"formula": "MgCuOsPb", "functional": "PBE", "state": "optimized geometry", "lattice": [[0.000, 3.248, 3.248], [3.248, 0.000, 3.248], [3.248, 3.248, 0.000]], "species": ["Mg", "Cu", "Os", "Pb"], "frac_coords": [[0.000, 0.000, 0.000], [0.750, 0.750, 0.750], [0.250, 0.250, 0.250], [0.500, 0.500, 0.500]], "e_above_lowest_polymorph_ev_per_atom": 0.0000, "space_group": "F-43m, No. 216"}

---

| no. | total magnetic moment (μB/cell) |
| --- | --- |
| 1 | 0.007 |
| 2 | 0.015 |
| 3 | 0.003 |
| 4 | 0.001 |